(1)
DFT (PBE-GGA) results for a relaxed Pm8GeAu2 crystal.

spin magnetization = 0.000 μB/atom
space-group type = C2/m

a b c (Å): 5.212 6.992 9.780
angles (deg): 108.78 105.45 90.00
Sites, in units of the cell vectors:
Pm (0.408, 0.535, 0.815)
Pm (0.670, 0.997, 0.340)
Pm (0.799, 0.657, 0.599)
Pm (0.978, 0.218, 0.956)
Pm (0.201, 0.343, 0.401)
Pm (0.330, 0.003, 0.660)
Pm (0.592, 0.465, 0.185)
Pm (0.022, 0.782, 0.044)
Ge (0.500, 0.000, 0.000)
Au (0.828, 0.264, 0.656)
Au (0.172, 0.736, 0.344)

(2)
DFT (PBE-GGA) results for a relaxed PmGeAu crystal.

spin magnetization = 0.000 μB/atom
space-group type = Imm2
energy above the lowest structure with this stoichiometry = 0.04 eV/f.u.

a b c (Å): 4.511 5.883 5.883
angles (deg): 83.51 67.45 67.45
Sites, in units of the cell vectors:
Pm (0.000, 0.615, 0.385)
Pm (0.500, 0.169, 0.831)
Ge (0.231, 0.753, 0.786)
Ge (0.769, 0.214, 0.247)
Au (0.290, 0.024, 0.396)
Au (0.710, 0.604, 0.976)

(3)
DFT (PBE-GGA) results for a relaxed PmGe3Au crystal.

spin magnetization = 0.000 μB/atom
space-group type = Cmmm

a b c (Å): 4.291 4.546 11.457
angles (deg): 101.44 90.00 90.00
Sites, in units of the cell vectors:
Pm (0.500, 0.830, 0.660)
Pm (0.500, 0.170, 0.340)
Ge (0.000, 0.057, 0.113)
Ge (0.000, 0.943, 0.887)
Ge (0.000, 0.272, 0.543)
Ge (0.000, 0.728, 0.457)
Ge (0.500, 0.445, 0.890)
Ge (0.500, 0.555, 0.110)
Au (0.000, 0.618, 0.235)
Au (0.000, 0.382, 0.765)

(4)
DFT (PBE-GGA) results for a relaxed Pm7Ge2Au crystal.

spin magnetization = 0.000 μB/atom
space-group type = P3m1

a b c (Å): 5.139 5.139 12.804
angles (deg): 90.00 90.00 120.00
Sites, in units of the cell vectors:
Pm (0.667, 0.333, 0.584)
Pm (0.667, 0.333, 0.854)
Pm (0.000, 0.000, 0.733)
Pm (0.000, 0.000, 0.271)
Pm (0.333, 0.667, 0.431)
Pm (0.333, 0.667, 0.986)
Pm (0.667, 0.333, 0.122)
Ge (0.333, 0.667, 0.684)
Ge (0.667, 0.333, 0.353)
Au (0.000, 0.000, 0.000)

(5)
DFT (PBE-GGA) results for a relaxed Pm6Ge2Au crystal.

spin magnetization = 0.000 μB/atom
space-group type = P2_1/c

a b c (Å): 6.522 8.089 10.062
angles (deg): 90.00 89.24 90.00
Sites, in units of the cell vectors:
Pm (0.843, 0.951, 0.234)
Pm (0.850, 0.657, 0.558)
Pm (0.874, 0.694, 0.935)
Pm (0.626, 0.194, 0.565)
Pm (0.650, 0.157, 0.942)
Pm (0.657, 0.451, 0.266)
Pm (0.157, 0.049, 0.766)
Pm (0.150, 0.343, 0.442)
Pm (0.126, 0.306, 0.065)
Pm (0.374, 0.806, 0.435)
Pm (0.350, 0.843, 0.058)
Pm (0.343, 0.549, 0.734)
Ge (0.922, 0.381, 0.756)
Ge (0.578, 0.881, 0.744)
Ge (0.422, 0.119, 0.256)
Ge (0.078, 0.619, 0.244)
Au (0.500, 0.500, 0.000)
Au (0.000, 0.000, 0.500)

(6)
DFT (PBE-GGA) results for a relaxed Pm2Ge3Au5 crystal.

spin magnetization = 0.000 μB/atom
space-group type = P-4m2
energy above the lowest structure with this stoichiometry = 1.27 eV/f.u.

a b c (Å): 4.427 4.427 11.171
angles (deg): 90.00 90.00 90.00
Sites, in units of the cell vectors:
Pm (0.500, 0.000, 0.228)
Pm (0.000, 0.500, 0.772)
Ge (0.500, 0.000, 0.628)
Ge (0.000, 0.500, 0.372)
Ge (0.000, 0.000, 0.500)
Au (0.500, 0.500, 0.000)
Au (0.000, 0.000, 0.000)
Au (0.500, 0.000, 0.846)
Au (0.000, 0.500, 0.154)
Au (0.500, 0.500, 0.500)

(7)
DFT (PBE-GGA) results for a relaxed Pm4Ge8Au crystal.

spin magnetization = 0.000 μB/atom
space-group type = Pmm2

a b c (Å): 4.038 4.159 17.466
angles (deg): 90.00 90.00 90.00
Sites, in units of the cell vectors:
Pm (0.000, 0.000, 0.092)
Pm (0.000, 0.500, 0.613)
Pm (0.500, 0.500, 0.405)
Pm (0.500, 0.000, 0.889)
Ge (0.000, 0.000, 0.473)
Ge (0.000, 0.500, 0.943)
Ge (0.500, 0.500, 0.035)
Ge (0.500, 0.000, 0.562)
Ge (0.000, 0.500, 0.230)
Ge (0.000, 0.000, 0.748)
Ge (0.500, 0.000, 0.229)
Ge (0.500, 0.500, 0.755)
Au (0.000, 0.000, 0.328)

(8)
DFT (PBE-GGA) results for a relaxed Pm3Ge5Au6 crystal.

spin magnetization = 0.000 μB/atom
space-group type = Pmmn

a b c (Å): 4.358 10.189 13.080
angles (deg): 90.00 90.00 90.00
Sites, in units of the cell vectors:
Pm (0.000, 0.246, 0.675)
Pm (0.500, 0.754, 0.175)
Pm (0.500, 0.754, 0.825)
Pm (0.000, 0.248, 0.000)
Pm (0.500, 0.752, 0.500)
Pm (0.000, 0.246, 0.325)
Ge (0.000, 0.529, 0.870)
Ge (0.000, 0.863, 0.663)
Ge (0.000, 0.795, 0.000)
Ge (0.500, 0.471, 0.630)
Ge (0.500, 0.205, 0.500)
Ge (0.000, 0.529, 0.130)
Ge (0.500, 0.471, 0.370)
Ge (0.000, 0.863, 0.337)
Ge (0.500, 0.137, 0.837)
Ge (0.500, 0.137, 0.163)
Au (0.000, 0.989, 0.843)
Au (0.500, 0.011, 0.657)
Au (0.500, 0.385, 0.823)
Au (0.500, 0.547, 0.000)
Au (0.000, 0.453, 0.500)
Au (0.000, 0.615, 0.677)
Au (0.000, 0.615, 0.323)
Au (0.500, 0.980, 0.000)
Au (0.000, 0.989, 0.157)
Au (0.500, 0.385, 0.177)
Au (0.000, 0.020, 0.500)
Au (0.500, 0.011, 0.343)

(9)
DFT (PBE-GGA) results for a relaxed Pm4GeAu crystal.

spin magnetization = 0.000 μB/atom
space-group type = P4/mmm

a b c (Å): 5.026 5.026 7.275
angles (deg): 89.99 90.00 90.00
Sites, in units of the cell vectors:
Pm (0.501, 0.997, 0.248)
Pm (0.501, 0.997, 0.748)
Pm (0.001, 0.497, 0.748)
Pm (0.001, 0.497, 0.248)
Ge (0.001, 0.997, 0.498)
Au (0.501, 0.497, 0.998)

(10)
DFT (PBE-GGA) results for a relaxed Pm2Ge3Au2 crystal.

spin magnetization = 0.000 μB/atom
space-group type = Cmcm
energy above the lowest structure with this stoichiometry = 0.00 eV/f.u.

a b c (Å): 4.469 7.135 9.757
angles (deg): 90.00 103.24 90.00
Sites, in units of the cell vectors:
Pm (0.154, 0.250, 0.308)
Pm (0.846, 0.750, 0.692)
Pm (0.949, 0.250, 0.898)
Pm (0.051, 0.750, 0.102)
Ge (0.222, 0.750, 0.443)
Ge (0.778, 0.250, 0.557)
Ge (0.560, 0.430, 0.119)
Ge (0.440, 0.570, 0.881)
Ge (0.440, 0.930, 0.881)
Ge (0.560, 0.070, 0.119)
Au (0.688, 0.950, 0.377)
Au (0.312, 0.050, 0.623)
Au (0.312, 0.450, 0.623)
Au (0.688, 0.550, 0.377)

(11)
DFT (PBE-GGA) results for a relaxed Pm2GeAu crystal.

spin magnetization = 0.000 μB/atom
space-group type = P2_1/m
energy above the lowest structure with this stoichiometry = 0.06 eV/f.u.

a b c (Å): 4.444 6.070 8.222
angles (deg): 110.93 90.00 90.00
Sites, in units of the cell vectors:
Pm (0.750, 0.220, 0.426)
Pm (0.250, 0.780, 0.574)
Pm (0.250, 0.779, 0.068)
Pm (0.750, 0.221, 0.932)
Ge (0.750, 0.676, 0.293)
Ge (0.250, 0.324, 0.707)
Au (0.250, 0.338, 0.209)
Au (0.750, 0.662, 0.791)

(12)
DFT (PBE-GGA) results for a relaxed Pm3Ge4Au7 crystal.

spin magnetization = 0.000 μB/atom
space-group type = C2/m

a b c (Å): 4.456 8.485 8.580
angles (deg): 69.76 74.95 74.77
Sites, in units of the cell vectors:
Pm (0.310, 0.190, 0.190)
Pm (0.690, 0.810, 0.810)
Pm (0.000, 0.500, 0.500)
Ge (0.665, 0.454, 0.216)
Ge (0.335, 0.546, 0.784)
Ge (0.873, 0.909, 0.345)
Ge (0.127, 0.091, 0.655)
Au (0.327, 0.817, 0.529)
Au (0.492, 0.212, 0.803)
Au (0.850, 0.387, 0.913)
Au (0.673, 0.183, 0.471)
Au (0.150, 0.613, 0.087)
Au (0.000, 0.000, 0.000)
Au (0.508, 0.788, 0.197)

(13)
DFT (PBE-GGA) results for a relaxed PmGe3Au9 crystal.

spin magnetization = 0.000 μB/atom
space-group type = C2/m

a b c (Å): 5.353 7.164 7.358
angles (deg): 84.04 68.67 73.42
Sites, in units of the cell vectors:
Pm (0.000, 0.000, 0.000)
Ge (0.500, 0.500, 0.000)
Ge (0.000, 0.000, 0.500)
Ge (0.500, 0.000, 0.500)
Au (0.677, 0.790, 0.790)
Au (0.323, 0.210, 0.210)
Au (0.533, 0.210, 0.790)
Au (0.467, 0.790, 0.210)
Au (0.690, 0.344, 0.359)
Au (0.310, 0.656, 0.641)
Au (0.951, 0.656, 0.359)
Au (0.049, 0.344, 0.641)
Au (0.000, 0.500, 0.000)

(14)
DFT (PBE-GGA) results for a relaxed PmGeAu2 crystal.

spin magnetization = 0.000 μB/atom
space-group type = P4/mmm
energy above the lowest structure with this stoichiometry = 0.54 eV/f.u.

a b c (Å): 3.791 3.791 6.160
angles (deg): 90.00 90.00 90.00
Sites, in units of the cell vectors:
Ge (0.500, 0.500, 0.000)
Au (0.000, 0.000, 0.758)
Au (0.000, 0.000, 0.242)
Pm (0.500, 0.500, 0.500)

(15)
DFT (PBE-GGA) results for a relaxed PmGeAu crystal.

spin magnetization = 0.000 μB/atom
space-group type = F-43m
energy above the lowest structure with this stoichiometry = 0.29 eV/f.u.

a b c (Å): 4.716 4.716 4.716
angles (deg): 60.00 60.00 60.00
Sites, in units of the cell vectors:
Ge (0.000, 0.000, 0.000)
Au (0.250, 0.250, 0.250)
Pm (0.500, 0.500, 0.500)

(16)
DFT (PBE-GGA) results for a relaxed Pm2Ge2Au crystal.

spin magnetization = 0.000 μB/atom
space-group type = C2/m

a b c (Å): 4.458 5.930 9.700
angles (deg): 88.31 76.71 67.92
Sites, in units of the cell vectors:
Pm (0.682, 0.311, 0.325)
Pm (0.918, 0.268, 0.896)
Pm (0.318, 0.689, 0.675)
Pm (0.082, 0.732, 0.104)
Ge (0.072, 0.291, 0.565)
Ge (0.639, 0.830, 0.892)
Ge (0.928, 0.709, 0.435)
Ge (0.361, 0.170, 0.108)
Au (0.625, 0.095, 0.655)
Au (0.375, 0.905, 0.345)

(17)
DFT (PBE-GGA) results for a relaxed PmGe2Au3 crystal.

spin magnetization = 0.000 μB/atom
space-group type = C2/m

a b c (Å): 4.580 8.750 7.181
angles (deg): 116.39 90.00 105.17
Sites, in units of the cell vectors:
Pm (0.865, 0.731, 0.927)
Pm (0.135, 0.269, 0.073)
Ge (0.493, 0.986, 0.811)
Ge (0.507, 0.014, 0.189)
Ge (0.786, 0.573, 0.253)
Ge (0.214, 0.427, 0.747)
Au (0.315, 0.630, 0.572)
Au (0.944, 0.889, 0.611)
Au (0.644, 0.288, 0.782)
Au (0.356, 0.712, 0.218)
Au (0.056, 0.111, 0.389)
Au (0.685, 0.370, 0.428)

(18)
DFT (PBE-GGA) results for a relaxed Pm3Ge2Au4 crystal.

spin magnetization = 0.000 μB/atom
space-group type = C2/m

a b c (Å): 4.561 5.934 8.868
angles (deg): 110.60 90.00 112.60
Sites, in units of the cell vectors:
Pm (0.659, 0.318, 0.673)
Pm (0.000, 0.000, 0.000)
Pm (0.341, 0.682, 0.327)
Ge (0.616, 0.231, 0.283)
Ge (0.384, 0.769, 0.717)
Au (0.713, 0.425, 0.058)
Au (0.287, 0.575, 0.942)
Au (0.928, 0.857, 0.602)
Au (0.072, 0.143, 0.398)

(19)
DFT (PBE-GGA) results for a relaxed PmGeAu2 crystal.

spin magnetization = 0.000 μB/atom
space-group type = P4/mmm
energy above the lowest structure with this stoichiometry = 0.39 eV/f.u.

a b c (Å): 4.310 4.470 4.470
angles (deg): 90.00 90.00 90.00
Sites, in units of the cell vectors:
Ge (0.500, 0.000, 0.000)
Au (0.000, 0.000, 0.500)
Au (0.000, 0.500, 0.000)
Pm (0.500, 0.500, 0.500)

(20)
DFT (PBE-GGA) results for a relaxed Pm2GeAu3 crystal.

spin magnetization = 0.000 μB/atom
space-group type = Fmmm
energy above the lowest structure with this stoichiometry = 0.02 eV/f.u.

a b c (Å): 5.916 5.916 9.301
angles (deg): 112.99 112.99 76.81
Sites, in units of the cell vectors:
Pm (0.750, 0.250, 0.500)
Pm (0.761, 0.239, 0.000)
Pm (0.250, 0.750, 0.500)
Pm (0.239, 0.761, 0.000)
Ge (0.665, 0.665, 0.330)
Ge (0.335, 0.335, 0.670)
Au (0.828, 0.828, 0.171)
Au (0.656, 0.656, 0.829)
Au (0.172, 0.172, 0.829)
Au (0.344, 0.344, 0.171)
Au (0.173, 0.173, 0.346)
Au (0.827, 0.827, 0.654)

(21)
DFT (PBE-GGA) results for a relaxed Pm3Ge4Au4 crystal.

spin magnetization = 0.000 μB/atom
space-group type = Immm

a b c (Å): 4.403 4.233 13.329
angles (deg): 99.14 99.51 90.00
Sites, in units of the cell vectors:
Pm (0.350, 0.850, 0.700)
Pm (0.650, 0.150, 0.300)
Pm (0.000, 0.000, 0.000)
Ge (0.810, 0.310, 0.620)
Ge (0.452, 0.452, 0.904)
Ge (0.548, 0.548, 0.096)
Ge (0.190, 0.690, 0.380)
Au (0.252, 0.252, 0.504)
Au (0.093, 0.593, 0.187)
Au (0.907, 0.407, 0.813)
Au (0.748, 0.748, 0.496)

(22)
DFT (PBE-GGA) results for a relaxed Pm3Ge4Au crystal.

spin magnetization = 0.000 μB/atom
space-group type = Immm

a b c (Å): 4.400 6.009 8.444
angles (deg): 110.84 105.10 90.00
Sites, in units of the cell vectors:
Pm (0.191, 0.191, 0.383)
Pm (0.809, 0.809, 0.617)
Pm (0.000, 0.500, 0.000)
Ge (0.376, 0.584, 0.752)
Ge (0.624, 0.416, 0.248)
Ge (0.624, 0.833, 0.248)
Ge (0.376, 0.167, 0.752)
Au (0.500, 0.000, 0.000)

The theoretical density results, record by record, are as follows: 8.34, 10.35, 8.49, 7.70, 7.58, 11.32, 7.69, 11.32, 7.68, 9.89, 8.97, 12.11, 14.08, 11.47, 9.28, 9.10, 11.87, 11.09, 11.79, 11.53, 10.39, 7.65 g cm⁻³.
The energy of formation from the pure elements results, record by record, are as follows: -40.4, -77.6, -36.2, -35.6, -46.9, -38.9, -57.9, -55.3, -41.8, -65.4, -77.0, -56.7, -13.1, -44.0, -69.4, -78.5, -43.4, -77.2, -47.6, -75.5, -66.7, -63.2 kJ per mole of atoms.